(1)
The following is a DFT calculation (PBE) of an optimized crystal structure of SmBiN2O.

Values from the calculation:
* mass density: 9.165 g/cm3
* E: -0.2450 hartree per atom

The structure in CIF format:
```
data_SmBiN2O
_chemical_formula_sum 'Sm4 Bi4 N8 O4'
_cell_length_a 5.9472
_cell_length_b 8.5889
_cell_length_c 5.7228
_cell_angle_alpha 90.00
_cell_angle_beta 90.00
_cell_angle_gamma 90.00
_symmetry_space_group_name_H-M 'P n m a'
_symmetry_Int_Tables_number 62
loop_
_symmetry_equiv_pos_as_xyz
'x,y,z'
'-x,-y,-z'
'-x+1/2,-y,z+1/2'
'x+1/2,y,-z+1/2'
'x+1/2,-y+1/2,-z+1/2'
'-x+1/2,y+1/2,z+1/2'
'-x,y+1/2,-z'
'x,-y+1/2,z'
loop_
_atom_site_label
_atom_site_fract_x
_atom_site_fract_y
_atom_site_fract_z
_atom_site_occupancy
Sm1 0.0638 0.2500 0.0243 1
Bi1 0.0000 0.0000 0.5000 1
N1 0.1978 0.5704 0.8052 1
O1 0.0553 0.7500 0.3651 1
```

---

(2)
The following is a DFT calculation (PBE) of an optimized crystal structure of SmBiN2O.

Values from the calculation:
* mass density: 9.018 g/cm3
* E: -0.2431 hartree per atom

The structure in CIF format:
```
data_SmBiN2O
_chemical_formula_sum 'Sm4 Bi4 N8 O4'
_cell_length_a 8.7325
_cell_length_b 5.8138
_cell_length_c 5.8518
_cell_angle_alpha 90.00
_cell_angle_beta 90.00
_cell_angle_gamma 90.00
_symmetry_space_group_name_H-M 'I m a 2'
_symmetry_Int_Tables_number 46
loop_
_symmetry_equiv_pos_as_xyz
'x,y,z'
'-x,-y,z'
'-x+1/2,y,z'
'x+1/2,-y,z'
'x+1/2,y+1/2,z+1/2'
'-x+1/2,-y+1/2,z+1/2'
'-x,y+1/2,z+1/2'
'x,-y+1/2,z+1/2'
loop_
_atom_site_label
_atom_site_fract_x
_atom_site_fract_y
_atom_site_fract_z
_atom_site_occupancy
Sm1 0.2500 0.0289 0.0000 1
Bi1 0.0000 0.0000 0.5175 1
N1 0.0809 0.2420 0.2610 1
O1 0.2500 0.6313 0.0663 1
```

---

(3)
The following is a DFT calculation (PBE) of an optimized crystal structure of SmBiN2O.

Values from the calculation:
* mass density: 8.521 g/cm3
* E: -0.2319 hartree per atom

The structure in CIF format:
```
data_SmBiN2O
_chemical_formula_sum 'Sm6 Bi6 N12 O6'
_cell_length_a 6.0492
_cell_length_b 6.0492
_cell_length_c 14.8831
_cell_angle_alpha 90.00
_cell_angle_beta 90.00
_cell_angle_gamma 120.00
_symmetry_space_group_name_H-M 'P 63/m m c'
_symmetry_Int_Tables_number 194
_symmetry_space_group_name_Hall '-P 6c 2c'
loop_
_atom_site_label
_atom_site_fract_x
_atom_site_fract_y
_atom_site_fract_z
_atom_site_occupancy
Sm1 0.0000 0.0000 0.2500 1
Sm2 0.3333 0.6667 0.1381 1
Bi1 0.0000 0.0000 0.0000 1
Bi2 0.3333 0.6667 0.6387 1
N1 0.1422 0.2845 0.6074 1
O1 0.0273 0.5136 0.2500 1
```

---

(4)
The following is a DFT calculation (PBE) of an optimized crystal structure of TaBiNO.

Values from the calculation:
* energy above the lowest structure with this stoichiometry: 0.072 eV per atom
* mass density: 9.239 g/cm3

The structure in CIF format:
```
data_TaBiNO
_chemical_formula_sum 'Ta2 Bi2 N2 O2'
_cell_length_a 3.2971
_cell_length_b 6.7761
_cell_length_c 6.7564
_cell_angle_alpha 90.00
_cell_angle_beta 90.00
_cell_angle_gamma 90.00
_symmetry_space_group_name_H-M 'P m c 21'
_symmetry_Int_Tables_number 26
loop_
_symmetry_equiv_pos_as_xyz
'x,y,z'
'-x,-y,z+1/2'
'-x,y,z'
'x,-y,z+1/2'
loop_
_atom_site_label
_atom_site_fract_x
_atom_site_fract_y
_atom_site_fract_z
_atom_site_occupancy
Ta1 0.0000 0.0976 0.0000 1
Bi1 0.5000 0.2869 0.5180 1
N1 0.0000 0.1152 0.2909 1
O1 0.5000 0.2378 0.9391 1
```

---

(5)
The following is a DFT calculation (PBE) of an optimized crystal structure of TaBiNO.

Values from the calculation:
* energy above the lowest structure with this stoichiometry: 0.058 eV per atom
* mass density: 9.171 g/cm3

The structure in CIF format:
```
data_TaBiNO
_chemical_formula_sum 'Ta2 Bi2 N2 O2'
_cell_length_a 3.5658
_cell_length_b 6.9744
_cell_length_c 6.1144
_cell_angle_alpha 90.00
_cell_angle_beta 90.00
_cell_angle_gamma 90.00
_symmetry_space_group_name_H-M 'P m c 21'
_symmetry_Int_Tables_number 26
loop_
_symmetry_equiv_pos_as_xyz
'x,y,z'
'-x,-y,z+1/2'
'-x,y,z'
'x,-y,z+1/2'
loop_
_atom_site_label
_atom_site_fract_x
_atom_site_fract_y
_atom_site_fract_z
_atom_site_occupancy
Ta1 0.0000 0.1530 0.0000 1
Bi1 0.5000 0.4499 0.5269 1
N1 0.5000 0.2259 0.8906 1
O1 0.0000 0.0652 0.2960 1
```

---

(6)
The following is a DFT calculation (PBE) of an optimized crystal structure of TaBiNO.

Values from the calculation:
* energy above the lowest structure with this stoichiometry: 0.364 eV per atom
* mass density: 9.837 g/cm3

The structure in CIF format:
```
data_TaBiNO
_chemical_formula_sum 'Ta2 Bi2 N2 O2'
_cell_length_a 4.1385
_cell_length_b 4.1385
_cell_length_c 8.2780
_cell_angle_alpha 90.00
_cell_angle_beta 90.00
_cell_angle_gamma 90.00
_symmetry_space_group_name_H-M 'P 4/n m m'
_symmetry_Int_Tables_number 129
loop_
_symmetry_equiv_pos_as_xyz
'x,y,z'
'-x,-y,-z'
'-y+1/2,x,z'
'y+1/2,-x,-z'
'-x+1/2,-y+1/2,z'
'x+1/2,y+1/2,-z'
'y,-x+1/2,z'
'-y,x+1/2,-z'
'x+1/2,-y,-z'
'-x+1/2,y,z'
'-y,-x,-z'
'y,x,z'
'-x,y+1/2,-z'
'x,-y+1/2,z'
'y+1/2,x+1/2,-z'
'-y+1/2,-x+1/2,z'
loop_
_atom_site_label
_atom_site_fract_x
_atom_site_fract_y
_atom_site_fract_z
_atom_site_occupancy
Ta1 0.2500 0.7500 0.0000 1
Bi1 0.2500 0.2500 0.3534 1
N1 0.2500 0.2500 0.9898 1
O1 0.2500 0.7500 0.5000 1
```

---

(7)
The following is a DFT calculation (PBE) of an optimized crystal structure of TaBiNO.

Values from the calculation:
* energy above the lowest structure with this stoichiometry: 0.000 eV per atom
* mass density: 9.077 g/cm3

The structure in CIF format:
```
data_TaBiNO
_chemical_formula_sum 'Ta4 Bi4 N4 O4'
_cell_length_a 6.1194
_cell_length_b 8.5581
_cell_length_c 5.8679
_cell_angle_alpha 90.00
_cell_angle_beta 90.00
_cell_angle_gamma 90.00
_symmetry_space_group_name_H-M 'P c a 21'
_symmetry_Int_Tables_number 29
loop_
_symmetry_equiv_pos_as_xyz
'x,y,z'
'-x,-y,z+1/2'
'-x+1/2,y,z+1/2'
'x+1/2,-y,z'
loop_
_atom_site_label
_atom_site_fract_x
_atom_site_fract_y
_atom_site_fract_z
_atom_site_occupancy
Ta1 0.0993 0.0758 0.0000 1
Bi1 0.0382 0.5545 0.0424 1
N1 0.1090 0.0714 0.6581 1
O1 0.0104 0.7328 0.5659 1
```

---

(8)
The following is a DFT calculation (PBE) of an optimized crystal structure of TaBiNO.

Values from the calculation:
* energy above the lowest structure with this stoichiometry: 0.394 eV per atom
* mass density: 9.755 g/cm3

The structure in CIF format:
```
data_TaBiNO
_chemical_formula_sum 'Ta2 Bi2 N2 O2'
_cell_length_a 4.2818
_cell_length_b 4.2818
_cell_length_c 7.7978
_cell_angle_alpha 90.00
_cell_angle_beta 90.00
_cell_angle_gamma 90.00
_symmetry_space_group_name_H-M 'P 4/n m m'
_symmetry_Int_Tables_number 129
loop_
_symmetry_equiv_pos_as_xyz
'x,y,z'
'-x,-y,-z'
'-y+1/2,x,z'
'y+1/2,-x,-z'
'-x+1/2,-y+1/2,z'
'x+1/2,y+1/2,-z'
'y,-x+1/2,z'
'-y,x+1/2,-z'
'x+1/2,-y,-z'
'-x+1/2,y,z'
'-y,-x,-z'
'y,x,z'
'-x,y+1/2,-z'
'x,-y+1/2,z'
'y+1/2,x+1/2,-z'
'-y+1/2,-x+1/2,z'
loop_
_atom_site_label
_atom_site_fract_x
_atom_site_fract_y
_atom_site_fract_z
_atom_site_occupancy
Ta1 0.2500 0.2500 0.0340 1
Bi1 0.2500 0.7500 0.5000 1
N1 0.2500 0.2500 0.2619 1
O1 0.2500 0.7500 0.0000 1
```

---

Number 1: total magnetic moment 0.0 μB per formula unit. Number 2: total magnetic moment 0.0 μB per formula unit. Number 3: total magnetic moment 0.0 μB per formula unit. Number 4: total magnetic moment 0.0 μB per formula unit. Number 5: total magnetic moment 0.0 μB per formula unit. Number 6: total magnetic moment 0.0 μB per formula unit. Number 7: total magnetic moment 0.0 μB per formula unit. Number 8: total magnetic moment 0.0 μB per formula unit.